[1]
Entry from Alexandria: a geometry-optimized GeRuNO2 structure (PBE-GGA). Values from VASP.

Geometry as Quantum ESPRESSO input:
```
&SYSTEM
  ibrav = 0, nat = 5, ntyp = 4
/
ATOMIC_SPECIES
Ge 72.64 Ge.upf
Ru 101.07 Ru.upf
N 14.01 N.upf
O 16.00 O.upf
CELL_PARAMETERS angstrom
3.686 0.000 0.000
0.000 3.686 0.000
0.000 0.000 3.934
ATOMIC_POSITIONS crystal
Ge 0.000 0.000 0.000
Ru 0.500 0.500 0.500
N 0.000 0.000 0.500
O 0.000 0.500 0.000
O 0.500 0.000 0.000
```

Calculated values
Raw total energy (eV/atom): -6.130
Calculated density (Mg/m³): 6.8



[2]
Entry from Alexandria: a geometry-optimized Dy5NiRh4 structure (PBE-GGA). Values from VASP.

Geometry as Quantum ESPRESSO input:
```
&SYSTEM
  ibrav = 0, nat = 10, ntyp = 3
/
ATOMIC_SPECIES
Dy 162.50 Dy.upf
Ni 58.69 Ni.upf
Rh 102.91 Rh.upf
CELL_PARAMETERS angstrom
3.395 0.000 0.000
0.000 3.395 0.000
0.000 0.000 17.358
ATOMIC_POSITIONS crystal
Dy 0.000 0.000 0.000
Dy 0.000 0.000 0.201
Dy 0.000 0.000 0.401
Dy 0.000 0.000 0.599
Dy 0.000 0.000 0.799
Ni 0.500 0.500 0.500
Rh 0.500 0.500 0.101
Rh 0.500 0.500 0.302
Rh 0.500 0.500 0.698
Rh 0.500 0.500 0.899
```

Calculated values
ΔE_f (eV per formula unit): -7.76
Calculated density (Mg/m³): 10.6



[3]
Entry from Alexandria: a geometry-optimized SiHg4S6 structure (PBE-GGA). Values from VASP.

Geometry as Quantum ESPRESSO input:
```
&SYSTEM
  ibrav = 0, nat = 22, ntyp = 3
/
ATOMIC_SPECIES
Si 28.09 Si.upf
Hg 200.59 Hg.upf
S 32.06 S.upf
CELL_PARAMETERS angstrom
6.318 -3.630 0.000
6.318 3.630 0.000
-4.376 0.000 11.872
ATOMIC_POSITIONS crystal
Si 0.229 0.771 0.500
Si 0.771 0.229 0.000
Hg 0.003 0.122 0.754
Hg 0.122 0.003 0.254
Hg 0.129 0.367 0.560
Hg 0.241 0.624 0.908
Hg 0.367 0.129 0.060
Hg 0.624 0.241 0.408
Hg 0.630 0.825 0.748
Hg 0.825 0.630 0.248
S 0.197 0.664 0.321
S 0.358 0.881 0.869
S 0.420 0.939 0.552
S 0.421 0.484 0.574
S 0.484 0.421 0.074
S 0.488 0.997 0.249
S 0.664 0.197 0.821
S 0.881 0.358 0.369
S 0.920 0.940 0.547
S 0.939 0.420 0.052
S 0.940 0.920 0.047
S 0.997 0.488 0.749
```

Calculated values
Raw total energy (eV/atom): -3.122
Calculated density (Mg/m³): 6.2



[4]
Entry from Alexandria: a geometry-optimized CaNbN2F structure (PBE-GGA). Values from VASP.

Geometry as Quantum ESPRESSO input:
```
&SYSTEM
  ibrav = 0, nat = 5, ntyp = 4
/
ATOMIC_SPECIES
Ca 40.08 Ca.upf
Nb 92.91 Nb.upf
N 14.01 N.upf
F 19.00 F.upf
CELL_PARAMETERS angstrom
4.117 0.000 0.000
0.000 4.117 0.000
0.000 0.000 4.106
ATOMIC_POSITIONS crystal
Ca 0.000 0.000 0.000
Nb 0.500 0.500 0.500
N 0.000 0.500 0.500
N 0.500 0.000 0.500
F 0.500 0.500 0.000
```

Calculated values
Excess energy over the best structure of this formula in the dataset (kJ per mole of atoms): 0.0
Calculated density (Mg/m³): 4.3